Entry 1:
Density functional theory data (PBE-GGA) for a geometry-optimized Cd3Hg4Pb structure.

Output
For the excess energy over the best structure of this formula in the dataset, the calculation gives 0.0 meV per atom. The energy of formation is 40 meV per atom. The energy comes out at -0.92 eV per atom. As for the space group: No. 25.

Cell and atoms, written as POSCAR:
```
Cd3Hg4Pb
1.0
3.902 0.000 0.000
0.000 4.816 0.000
0.000 0.000 11.300
Hg Cd Pb
4 3 1
Cartesian
0.000 2.408 9.662 Hg
1.951 0.000 7.166 Hg
0.000 0.000 1.615 Hg
1.951 2.408 4.228 Hg
0.000 0.000 4.586 Cd
0.000 2.408 6.719 Cd
1.951 0.000 10.134 Cd
1.951 2.408 1.088 Pb
```

Entry 2:
Density functional theory data (PBE-GGA) for a geometry-optimized Cd4Hg8Pb structure.

Output
For the excess energy over the best structure of this formula in the dataset, the calculation gives 64.9 meV per atom. The energy of formation is 99 meV per atom. The energy comes out at -0.65 eV per atom. As for the space group: No. 216.

Cell and atoms, written as POSCAR:
```
Cd4Hg8Pb
1.0
8.110 0.000 0.000
4.055 7.024 0.000
4.055 2.341 6.622
Hg Cd Pb
8 4 1
Cartesian
8.110 4.683 1.250 Hg
1.546 0.892 0.631 Hg
8.110 2.739 3.998 Hg
4.055 2.341 4.729 Hg
6.565 0.892 0.631 Hg
6.428 5.654 3.998 Hg
4.055 5.239 0.631 Hg
9.793 5.654 3.998 Hg
8.110 7.495 2.317 Cd
10.546 3.276 2.317 Cd
8.110 4.683 6.294 Cd
5.675 3.276 2.317 Cd
12.166 7.024 4.967 Pb
```